Density functional theory data (PBE) for a geometry-optimized SrCaY2 structure.

Summary:
Offset from the most stable computed form ... 2.65 kcal/mol of atoms
Crystal system ... orthorhombic
Size of the total moment ... 0.005 Bohr magnetons per cell
Total DFT energy (no corrections) ... -3.954 eV/atom
Mass density ... 3.34 Mg/m³

Unit cell a=4.0743 b=6.0024 c=6.2043 alpha=90.00 beta=90.00 gamma=90.00
Space group Pmmm (No. 47)
Inequivalent atoms, fractional coordinates:
Sr: 0.0000 0.0000 0.0000
Ca: 0.5000 0.5000 0.0000
Y: 0.0000 0.5000 0.5000
Y: 0.5000 0.0000 0.5000